## Ce2NdTh7 (PBE)

Data for crystalline Ce2NdTh7 at its relaxed geometry.

Cell lengths 4.993, 8.679, 9.389 Å; angles 108.15, 74.57, 125.16 degrees
Fractional coordinates of all 10 atoms:
Ce  0.400  0.599  0.399
Ce  0.600  0.401  0.601
Nd  0.000  0.000  0.000
Th  0.099  0.897  0.598
Th  0.901  0.103  0.402
Th  0.298  0.696  0.794
Th  0.702  0.304  0.206
Th  0.198  0.799  0.203
Th  0.802  0.201  0.797
Th  0.500  0.500  0.000

- DFT formation energy (eV/f.u.) = 0.367
- magnetic moment (μB/cell) = 0.00